1.
Ce2Th2O7 | PBE-GGA | relaxed

Results
Raw formation energy: -3.603 eV/atom
Density: 8.1 g cm⁻³
Volume: 175 Å³ per cell

Lattice parameters (Å, degrees): 3.9510 3.9510 11.1832 90.00 90.00 90.00
Element x y z (fractional)
O (0.5000, 0.5000, 0.7445)
O (0.5000, 0.5000, 0.0000)
Ce (0.5000, 0.0000, 0.8673)
O (0.5000, 0.5000, 0.5000)
Th (0.0000, 0.5000, 0.6262)
O (0.5000, 0.5000, 0.2555)
Th (0.5000, 0.0000, 0.3738)
O (0.0000, 0.0000, 0.5000)
Ce (0.0000, 0.5000, 0.1327)
O (0.0000, 0.0000, 0.2397)
O (0.0000, 0.0000, 0.7603)



2.
Ce2Th2O7 | PBE-GGA | relaxed

Results
Raw formation energy: -3.587 eV/atom
Density: 8.3 g cm⁻³
Volume: 344 Å³ per cell

Lattice parameters (Å, degrees): 7.8681 7.8681 7.8681 60.00 60.00 60.00
Element x y z (fractional)
Th (0.1250, 0.6250, 0.6250)
O (0.4940, 0.0060, 0.0060)
O (0.5000, 0.5000, 0.5000)
Ce (0.1250, 0.1250, 0.1250)
O (0.2440, 0.2440, 0.7560)
O (0.2440, 0.7560, 0.7560)
Ce (0.1250, 0.6250, 0.1250)
Th (0.6250, 0.6250, 0.1250)
Th (0.6250, 0.1250, 0.6250)
O (0.0060, 0.4940, 0.0060)
Ce (0.6250, 0.1250, 0.1250)
Ce (0.1250, 0.1250, 0.6250)
O (0.2440, 0.7560, 0.2440)
O (0.0060, 0.4940, 0.4940)
Th (0.6250, 0.6250, 0.6250)
O (0.7500, 0.7500, 0.7500)
O (0.7560, 0.2440, 0.2440)
O (0.7560, 0.7560, 0.2440)
O (0.4940, 0.4940, 0.0060)
O (0.4940, 0.0060, 0.4940)
O (0.7560, 0.2440, 0.7560)
O (0.0060, 0.0060, 0.4940)



Q: Which value of volume does entry 2 give?
A: 344 Å³ per cell



Q: The highest volume belongs to which entry?
A: number 2



Q: Among the records above, which one has the lowest raw formation energy?
A: number 1